Li2MnO2F after structural relaxation, computed with PBE+U.

Computed properties:
- Energy above the most stable polymorph in this dataset: 154 meV per atom
- Total DFT energy (no corrections): -35.15 eV per formula unit
- SG: Cc (9)

a = 5.203 Å, b = 5.203 Å, c = 9.216 Å
α = 100.10°, β = 100.10°, γ = 111.80°
Positions (direct):
Li (0.029, 0.277, 0.306)
Li (0.116, 0.884, 0.500)
Li (0.184, 0.438, 0.619)
Li (0.277, 0.029, 0.806)
Li (0.438, 0.184, 0.119)
Li (0.688, 0.942, 0.636)
Li (0.884, 0.116, 0.000)
Li (0.942, 0.688, 0.136)
Mn (0.367, 0.618, 0.985)
Mn (0.529, 0.779, 0.309)
Mn (0.618, 0.367, 0.485)
Mn (0.779, 0.529, 0.809)
O (0.116, 0.819, 0.967)
O (0.224, 0.460, 0.147)
O (0.398, 0.596, 0.466)
O (0.460, 0.224, 0.647)
O (0.596, 0.398, 0.966)
O (0.673, 0.936, 0.147)
O (0.819, 0.116, 0.467)
O (0.936, 0.673, 0.647)
F (0.035, 0.265, 0.818)
F (0.265, 0.035, 0.318)
F (0.530, 0.803, 0.819)
F (0.803, 0.530, 0.319)